Entry 1:
The following is a DFT calculation (meta-GGA SCAN) of a PBEsol-optimized structure of MnOsPt2.

Values from the calculation:
energy relative to the elements	-0.200	eV/atom
DFT total energy	-57.830	eV per atom

a b c (Å): 3.825 3.825 4.665
angles (deg): 114.20 114.20 90.00
Last column: magnetic moment on the atom in μB.
Fractional coordinates of all 4 atoms:
Pt 0.750 0.250 0.500  -0.03
Os 0.250 0.750 0.500  -0.57
Pt 0.000 0.000 0.000  0.01
Mn 0.500 0.500 0.000  3.43

Entry 2:
The following is a DFT calculation (meta-GGA SCAN) of a PBEsol-optimized structure of Li4Mn2Fe3Cu3O16.

Values from the calculation:
E_form (uncorrected)	-1.603	eV/atom
DFT total energy	-10.380	eV per atom

a b c (Å): 5.793 5.793 9.147
angles (deg): 86.47 86.47 57.22
Last column: magnetic moment on the atom in μB.
Fractional coordinates of all 28 atoms:
Fe 0.174 0.174 0.786  1.91
O 0.661 0.185 0.405  0.12
O 0.452 0.030 0.641  0.03
O 0.185 0.661 0.405  0.12
Fe 0.347 0.823 0.287  1.65
Cu 0.662 0.167 0.790  -0.42
O 0.844 0.844 0.916  -0.06
Fe 0.823 0.347 0.287  1.65
O 0.012 0.012 0.705  -0.03
O 0.506 0.956 0.157  0.21
O 0.956 0.506 0.157  0.21
O 0.364 0.854 0.904  0.05
O 0.854 0.364 0.904  0.05
O 0.321 0.321 0.886  -0.02
O 0.030 0.452 0.641  0.03
O 0.659 0.659 0.397  0.18
Li 0.335 0.335 0.102  0.00
Cu 0.167 0.662 0.790  -0.42
Mn 0.676 0.676 0.011  -2.69
Cu 0.832 0.832 0.291  0.86
O 0.161 0.161 0.389  0.09
O 0.009 0.009 0.198  0.16
Li 0.997 0.997 0.511  0.00
O 0.522 0.522 0.158  0.04
Mn 0.327 0.327 0.511  -2.75
O 0.465 0.465 0.651  -0.01
Li 0.650 0.650 0.606  0.00
Li 0.010 0.010 0.004  0.00

Entry 3:
The following is a DFT calculation (meta-GGA SCAN) of a PBEsol-optimized structure of Na2HPd.

Values from the calculation:
DFT total energy	-11.315	eV per atom

a b c (Å): 3.371 7.064 7.064
angles (deg): 86.74 76.20 76.20
Fractional coordinates of all 8 atoms:
Na 0.375 0.324 0.176
Na 0.449 0.176 0.676
Na 0.301 0.824 0.324
Na 0.875 0.676 0.824
H 0.500 0.000 0.000
Pd 0.000 0.000 0.000
Pd 0.750 0.500 0.500
H 0.250 0.500 0.500

Entry 4:
The following is a DFT calculation (meta-GGA SCAN) of a PBEsol-optimized structure of LaY2Mg.

Values from the calculation:
energy relative to the elements	0.007	eV/atom
DFT total energy	-25.934	eV per atom

a b c (Å): 3.543 4.844 6.965
angles (deg): 90.00 90.00 90.00
Fractional coordinates of all 4 atoms:
Y 0.500 0.500 0.242
Y 0.000 0.000 0.996
Mg 0.500 0.500 0.756
La 0.000 0.000 0.506

Entry 5:
The following is a DFT calculation (meta-GGA SCAN) of a PBEsol-optimized structure of Ca2MgCu4.

Values from the calculation:
energy relative to the elements	-0.078	eV/atom
DFT total energy	-12.235	eV per atom

a b c (Å): 7.257 7.257 7.257
angles (deg): 92.54 118.55 118.55
Fractional coordinates of all 14 atoms:
Ca 0.500 0.163 0.337
Ca 0.826 0.663 0.163
Cu 0.792 0.942 0.442
Cu 0.500 0.150 0.942
Mg 0.000 0.750 0.750
Cu 0.500 0.558 0.350
Mg 0.000 0.250 0.250
Cu 0.208 0.650 0.150
Ca 0.500 0.837 0.663
Cu 0.208 0.058 0.558
Cu 0.792 0.350 0.850
Cu 0.500 0.850 0.058
Ca 0.174 0.337 0.837
Cu 0.500 0.442 0.650

Entry 6:
The following is a DFT calculation (meta-GGA SCAN) of a PBEsol-optimized structure of CaMnSn3.

Values from the calculation:
energy relative to the elements	-0.138	eV/atom
DFT total energy	-27.274	eV per atom

a b c (Å): 4.998 4.998 4.998
angles (deg): 90.00 90.00 90.00
Last column: magnetic moment on the atom in μB.
Fractional coordinates of all 5 atoms:
Ca 0.500 0.500 0.500  0.02
Mn 0.000 0.000 0.000  2.80
Sn 0.500 0.000 0.000  -0.04
Sn 0.000 0.500 0.000  -0.04
Sn 0.000 0.000 0.500  -0.04

Entry 7:
The following is a DFT calculation (meta-GGA SCAN) of a PBEsol-optimized structure of CsNaAg2.

Values from the calculation:
energy relative to the elements	0.288	eV/atom
DFT total energy	-25.902	eV per atom

a b c (Å): 5.679 5.679 5.679
angles (deg): 60.00 60.00 60.00
Fractional coordinates of all 4 atoms:
Na 0.000 0.000 0.000
Cs 0.500 0.500 0.500
Ag 0.250 0.250 0.250
Ag 0.750 0.750 0.750

Entry 8:
The following is a DFT calculation (meta-GGA SCAN) of a PBEsol-optimized structure of Rb2LaCuCl6.

Values from the calculation:
E_form (uncorrected)	-2.006	eV/atom
DFT total energy	-16.771	eV per atom

a b c (Å): 7.357 7.357 7.357
angles (deg): 60.00 60.00 60.00
Last column: magnetic moment on the atom in μB.
Fractional coordinates of all 10 atoms:
Cl 0.737 0.263 0.737  0.00
Cl 0.737 0.737 0.263  0.00
Cl 0.737 0.263 0.263  0.00
Cl 0.263 0.263 0.737  0.00
Rb 0.750 0.750 0.750  0.00
Cu 0.500 0.500 0.500  0.07
Rb 0.250 0.250 0.250  0.00
Cl 0.263 0.737 0.737  0.00
Cl 0.263 0.737 0.263  0.00
La 0.000 0.000 0.000  0.00